Entry from the Alexandria database: a relaxed BaHIr2Os crystal (PBE).

Properties
symmetry = P4/mmm, No. 123

a = 4.668 Å, b = 4.668 Å, c = 6.437 Å
α = 90.00°, β = 90.00°, γ = 90.00°
Positions (direct):
Ba 0.000 0.000 0.000
H 0.500 0.500 0.000
Ir 0.000 0.500 0.500
Ir 0.500 0.000 0.500
Os 0.000 0.000 0.500

Entry from the Alexandria database: a relaxed Ba2H6IrPb crystal (PBE).

Properties
symmetry = P-3m1, No. 164

a = 5.402 Å, b = 5.402 Å, c = 7.049 Å
α = 90.00°, β = 90.00°, γ = 120.00°
Positions (direct):
Ba 0.333 0.667 0.218
Ba 0.667 0.333 0.782
H 0.151 0.301 0.867
H 0.151 0.849 0.867
H 0.301 0.151 0.133
H 0.699 0.849 0.867
H 0.849 0.151 0.133
H 0.849 0.699 0.133
Ir 0.000 0.000 0.000
Pb 0.000 0.000 0.500

| no. | DOS(E_F) (states/eV/f.u.) | raw total energy (eV per atom) |
| --- | --- | --- |
| 1 | 5.3 | -5.6087 |
| 2 | 4.1 | -4.0992 |